# KMgBe4 PBE optimized geometry
# energy: -2.260 eV per atom
# density of states at the Fermi level: 2.74 states/eV/f.u.
# formation enthalpy at 0 K: 673 meV per atom
# space group: No. 216
data_KMgBe4
_chemical_formula_sum 'K1 Mg1 Be4'
_cell_length_a 5.018
_cell_length_b 5.018
_cell_length_c 5.018
_cell_angle_alpha 60.00
_cell_angle_beta 60.00
_cell_angle_gamma 60.00
_symmetry_space_group_name_H-M 'P 1'
_symmetry_Int_Tables_number 1
_symmetry_space_group_name_Hall 'P 1'
loop_
_atom_site_label
_atom_site_fract_x
_atom_site_fract_y
_atom_site_fract_z
K1 0.000 0.000 0.000
Mg1 0.750 0.750 0.750
Be1 0.385 0.385 0.385
Be2 0.385 0.385 0.846
Be3 0.385 0.846 0.385
Be4 0.846 0.385 0.385

# KMg4Be PBE optimized geometry
# energy: -1.354 eV per atom
# density of states at the Fermi level: 4.79 states/eV/f.u.
# formation enthalpy at 0 K: 513 meV per atom
# space group: No. 216
data_KMg4Be
_chemical_formula_sum 'K1 Mg4 Be1'
_cell_length_a 6.024
_cell_length_b 6.024
_cell_length_c 6.024
_cell_angle_alpha 60.00
_cell_angle_beta 60.00
_cell_angle_gamma 60.00
_symmetry_space_group_name_H-M 'P 1'
_symmetry_Int_Tables_number 1
_symmetry_space_group_name_Hall 'P 1'
loop_
_atom_site_label
_atom_site_fract_x
_atom_site_fract_y
_atom_site_fract_z
K1 0.000 0.000 0.000
Mg1 0.130 0.623 0.623
Mg2 0.623 0.130 0.623
Mg3 0.623 0.623 0.130
Mg4 0.623 0.623 0.623
Be1 0.250 0.250 0.250

# KMgBe PBE optimized geometry
# energy: -1.778 eV per atom
# density of states at the Fermi level: 1.37 states/eV/f.u.
# formation enthalpy at 0 K: 361 meV per atom
# space group: No. 8
data_KMgBe
_chemical_formula_sum 'K2 Mg2 Be2'
_cell_length_a 4.289
_cell_length_b 4.289
_cell_length_c 12.499
_cell_angle_alpha 100.13
_cell_angle_beta 100.13
_cell_angle_gamma 59.28
_symmetry_space_group_name_H-M 'P 1'
_symmetry_Int_Tables_number 1
_symmetry_space_group_name_Hall 'P 1'
loop_
_atom_site_label
_atom_site_fract_x
_atom_site_fract_y
_atom_site_fract_z
K1 0.000 0.000 0.000
K2 0.558 0.558 0.662
Mg1 0.422 0.422 0.250
Mg2 0.810 0.810 0.418
Be1 0.095 0.095 0.258
Be2 0.742 0.742 0.219

# KMgBe PBE optimized geometry
# energy: -1.558 eV per atom
# density of states at the Fermi level: 1.71 states/eV/f.u.
# formation enthalpy at 0 K: 582 meV per atom
# space group: No. 107
data_KMgBe
_chemical_formula_sum 'K1 Mg1 Be1'
_cell_length_a 6.776
_cell_length_b 6.776
_cell_length_c 6.776
_cell_angle_alpha 148.96
_cell_angle_beta 148.96
_cell_angle_gamma 44.46
_symmetry_space_group_name_H-M 'P 1'
_symmetry_Int_Tables_number 1
_symmetry_space_group_name_Hall 'P 1'
loop_
_atom_site_label
_atom_site_fract_x
_atom_site_fract_y
_atom_site_fract_z
K1 0.000 0.000 0.000
Mg1 0.735 0.735 0.000
Be1 0.282 0.282 0.000

# KMgBe PBE optimized geometry
# energy: -1.149 eV per atom
# density of states at the Fermi level: 2.57 states/eV/f.u.
# formation enthalpy at 0 K: 991 meV per atom
# space group: No. 216
data_KMgBe
_chemical_formula_sum 'K1 Mg1 Be1'
_cell_length_a 5.138
_cell_length_b 5.138
_cell_length_c 5.138
_cell_angle_alpha 60.00
_cell_angle_beta 60.00
_cell_angle_gamma 60.00
_symmetry_space_group_name_H-M 'P 1'
_symmetry_Int_Tables_number 1
_symmetry_space_group_name_Hall 'P 1'
loop_
_atom_site_label
_atom_site_fract_x
_atom_site_fract_y
_atom_site_fract_z
K1 0.000 0.000 0.000
Mg1 0.750 0.750 0.750
Be1 0.500 0.500 0.500

# KMgBe PBE optimized geometry
# energy: -1.853 eV per atom
# density of states at the Fermi level: 1.06 states/eV/f.u.
# formation enthalpy at 0 K: 286 meV per atom
# space group: No. 8
data_KMgBe
_chemical_formula_sum 'K2 Mg2 Be2'
_cell_length_a 3.961
_cell_length_b 3.961
_cell_length_c 13.578
_cell_angle_alpha 99.93
_cell_angle_beta 99.93
_cell_angle_gamma 60.08
_symmetry_space_group_name_H-M 'P 1'
_symmetry_Int_Tables_number 1
_symmetry_space_group_name_Hall 'P 1'
loop_
_atom_site_label
_atom_site_fract_x
_atom_site_fract_y
_atom_site_fract_z
K1 0.000 0.000 0.000
K2 0.741 0.741 0.313
Mg1 0.493 0.493 0.551
Mg2 0.577 0.577 0.764
Be1 0.201 0.201 0.657
Be2 0.869 0.869 0.657